Record 1
Here is crystalline Ba3I5 at its relaxed geometry from Alexandria via LeMat-Bulk. Energies are from PBE.

abc: 10.403 10.403 9.465
angles: 95.56 95.56 133.37
Element x y z (fractional)
Ba (0.154, 0.846, 0.000)
Ba (0.248, 0.752, 0.500)
Ba (0.450, 0.450, 0.702)
Ba (0.550, 0.550, 0.298)
Ba (0.752, 0.248, 0.500)
Ba (0.846, 0.154, 0.000)
I (0.120, 0.335, 0.378)
I (0.131, 0.513, 0.802)
I (0.232, 0.232, 0.975)
I (0.335, 0.120, 0.378)
I (0.487, 0.869, 0.198)
I (0.513, 0.131, 0.802)
I (0.665, 0.880, 0.622)
I (0.768, 0.768, 0.025)
I (0.869, 0.487, 0.198)
I (0.880, 0.665, 0.622)

SG: C2/m (12)
Polymorph energy (0 for the lowest one): 0.0 meV per atom
ΔE_f (raw): -1.639 eV per atom

Record 2
Here is crystalline ZrZnTcIr at its relaxed geometry from Alexandria via LeMat-Bulk. Energies are from PBE.

abc: 4.498 4.498 4.498
angles: 60.00 60.00 60.00
Element x y z (fractional)
Zr (0.000, 0.000, 0.000)
Zn (0.500, 0.500, 0.500)
Tc (0.250, 0.250, 0.250)
Ir (0.750, 0.750, 0.750)

Formation energy: -99 kJ/mol of formula units
SG: F-43m (216)

Record 3
Here is crystalline Na2NiOs at its relaxed geometry from Alexandria via LeMat-Bulk. Energies are from PBE.

abc: 6.179 6.179 6.179
angles: 98.42 98.42 135.02
Element x y z (fractional)
Na (0.084, 0.625, 0.959)
Na (0.375, 0.334, 0.459)
Na (0.666, 0.125, 0.041)
Na (0.875, 0.916, 0.541)
Ni (0.000, 0.000, 0.000)
Ni (0.750, 0.250, 0.500)
Os (0.250, 0.750, 0.500)
Os (0.500, 0.500, 0.000)

Formation energy: 492 kJ/mol of formula units
SG: I-42d (122)
Polymorph energy (0 for the lowest one): 0.0 meV per atom

Record 4
Here is crystalline B3TeC at its relaxed geometry from Alexandria via LeMat-Bulk. Energies are from PBE.

abc: 4.373 4.373 4.373
angles: 90.00 90.00 90.00
Element x y z (fractional)
B (0.000, 0.000, 0.500)
B (0.000, 0.500, 0.000)
B (0.500, 0.000, 0.000)
Te (0.000, 0.000, 0.000)
C (0.500, 0.500, 0.500)

SG: Pm-3m (221)
Polymorph energy (0 for the lowest one): 1556.0 meV per atom
ΔE_f (raw): 3.461 eV per atom

Record 5
Here is crystalline LaPa2Sn at its relaxed geometry from Alexandria via LeMat-Bulk. Energies are from PBE.

abc: 5.314 5.314 5.314
angles: 60.00 60.00 60.00
Element x y z (fractional)
La (0.000, 0.000, 0.000)
Pa (0.250, 0.250, 0.250)
Pa (0.750, 0.750, 0.750)
Sn (0.500, 0.500, 0.500)

Formation energy: 78 kJ/mol of formula units
SG: Fm-3m (225)
Polymorph energy (0 for the lowest one): 304.0 meV per atom

Record 6
Here is crystalline Sr2Pr3NpN6 at its relaxed geometry from Alexandria via LeMat-Bulk. Energies are from PBE.

abc: 6.367 6.367 6.286
angles: 99.69 99.69 120.13
Element x y z (fractional)
Sr (0.167, 0.833, 0.000)
Sr (0.833, 0.167, 0.000)
Pr (0.000, 0.000, 0.500)
Pr (0.339, 0.661, 0.500)
Pr (0.661, 0.339, 0.500)
Np (0.500, 0.500, 0.000)
N (0.147, 0.423, 0.770)
N (0.291, 0.291, 0.247)
N (0.423, 0.147, 0.770)
N (0.577, 0.853, 0.230)
N (0.709, 0.709, 0.753)
N (0.853, 0.577, 0.230)

SG: C2/m (12)
ΔE_f (raw): -1.126 eV per atom

Record 7
Here is crystalline LiNdAl2Ga4 at its relaxed geometry from Alexandria via LeMat-Bulk. Energies are from PBE.

abc: 9.018 9.018 9.018
angles: 28.94 28.94 28.94
Element x y z (fractional)
Li (0.000, 0.000, 0.000)
Nd (0.500, 0.500, 0.500)
Al (0.258, 0.258, 0.258)
Al (0.742, 0.742, 0.742)
Ga (0.102, 0.102, 0.102)
Ga (0.369, 0.369, 0.369)
Ga (0.631, 0.631, 0.631)
Ga (0.898, 0.898, 0.898)

Formation energy: -204 kJ/mol of formula units
SG: R-3m (166)

Record 8
Here is crystalline LiTl2IrO6 at its relaxed geometry from Alexandria via LeMat-Bulk. Energies are from PBE.

abc: 5.558 5.558 5.558
angles: 60.97 60.97 60.97
Element x y z (fractional)
Li (0.000, 0.000, 0.000)
Tl (0.239, 0.239, 0.239)
Tl (0.760, 0.760, 0.760)
Ir (0.501, 0.501, 0.501)
O (0.163, 0.368, 0.731)
O (0.273, 0.840, 0.633)
O (0.368, 0.731, 0.163)
O (0.633, 0.273, 0.840)
O (0.731, 0.163, 0.368)
O (0.840, 0.633, 0.273)

SG: R3 (146)
ΔE_f (raw): -0.871 eV per atom

Record 9
Here is crystalline Rb2Na4Ge at its relaxed geometry from Alexandria via LeMat-Bulk. Energies are from PBE.

abc: 10.619 10.619 10.619
angles: 148.05 148.05 45.81
Element x y z (fractional)
Rb (0.143, 0.143, 0.000)
Rb (0.857, 0.857, 0.000)
Na (0.000, 0.500, 0.500)
Na (0.353, 0.353, 0.000)
Na (0.500, 0.000, 0.500)
Na (0.647, 0.647, 0.000)
Ge (0.500, 0.500, 0.000)

Formation energy: 24 kJ/mol of formula units
SG: I4/mmm (139)

Record 10
Here is crystalline SrCaH8Pd2 at its relaxed geometry from Alexandria via LeMat-Bulk. Energies are from PBE.

abc: 9.602 9.602 9.602
angles: 25.17 25.17 25.17
Element x y z (fractional)
Sr (0.000, 0.000, 0.000)
Ca (0.500, 0.500, 0.500)
H (0.100, 0.529, 0.529)
H (0.186, 0.186, 0.186)
H (0.471, 0.471, 0.900)
H (0.471, 0.900, 0.471)
H (0.529, 0.100, 0.529)
H (0.529, 0.529, 0.100)
H (0.814, 0.814, 0.814)
H (0.900, 0.471, 0.471)
Pd (0.249, 0.249, 0.249)
Pd (0.751, 0.751, 0.751)

SG: R-3m (166)
E_tot: -0.259 Ry/atom